DFT (GGA+U) results for a geometry-optimized AcCrIrO6 structure.

## Properties
As for the crystal system: trigonal. For the total energy, the calculation gives -7.420 eV per atom.

The structure in CIF format:
```
data_AcCrIrO6
_cell_length_a 5.2488
_cell_length_b 5.2488
_cell_length_c 5.3520
_cell_angle_alpha 90.00
_cell_angle_beta 90.00
_cell_angle_gamma 120.00
_symmetry_space_group_name_H-M 'P 3 1 2'
_symmetry_Int_Tables_number 149
loop_
_symmetry_equiv_pos_as_xyz
'x,y,z'
'-y,x-y,z'
'-x+y,-x,z'
'-y,-x,-z'
'-x+y,y,-z'
'x,x-y,-z'
loop_
_atom_site_label
_atom_site_type_symbol
_atom_site_fract_x
_atom_site_fract_y
_atom_site_fract_z
Ac1 Ac 0.0000 0.0000 0.0000
Cr1 Cr 0.6667 0.3333 0.5000
Ir1 Ir 0.3333 0.6667 0.5000
O1 O 0.0054 0.3771 0.2963
```